Entry 1:
# SmZnAu

An optimized crystal structure of SmZnAu (PBE-GGA, Alexandria via LeMat-Bulk).

abc: 5.7998 5.7998 8.9793
angles: 90.00 90.00 87.05
Sites, in units of the cell vectors:
1 Sm 0.2026 0.2026 0.0000
2 Sm 0.2974 0.2974 0.5000
3 Sm 0.7026 0.7026 0.5000
4 Sm 0.7974 0.7974 0.0000
5 Zn 0.1187 0.8813 0.6965
6 Zn 0.3813 0.6187 0.1965
7 Zn 0.6187 0.3813 0.8035
8 Zn 0.8813 0.1187 0.3035
9 Au 0.1882 0.8118 0.4105
10 Au 0.3118 0.6882 0.9105
11 Au 0.6882 0.3118 0.0895
12 Au 0.8118 0.1882 0.5895

magnetic moment	0.000	μB/f.u.
E_form	-361	meV/atom
volume	301.6	Å³ per cell
total DFT energy (no corrections)	-41.42	eV for the cell shown
calculated density	9.1	g/cm³
DOS(E_F)	7.22	states/eV/cell


Entry 2:
# CaTl2Ge2S6

An optimized crystal structure of CaTl2Ge2S6 (PBE-GGA, Alexandria via LeMat-Bulk).

abc: 8.7084 8.7084 8.7084
angles: 48.25 48.25 48.25
Sites, in units of the cell vectors:
1 Ca 0.0000 0.0000 0.0000
2 Tl 0.2109 0.2109 0.2109
3 Tl 0.7891 0.7891 0.7891
4 Ge 0.4145 0.4145 0.4145
5 Ge 0.5855 0.5855 0.5855
6 S 0.2339 0.7510 0.7510
7 S 0.2490 0.2490 0.7661
8 S 0.2490 0.7661 0.2490
9 S 0.7510 0.2339 0.7510
10 S 0.7510 0.7510 0.2339
11 S 0.7661 0.2490 0.2490

magnetic moment	0.000	μB/f.u.
volume	337.0	Å³ per cell
total DFT energy (no corrections)	-46.67	eV for the cell shown
calculated density	3.9	g/cm³
raw formation energy	-0.540	eV per atom


Entry 3:
# La3Sm4Dy2

An optimized crystal structure of La3Sm4Dy2 (PBE-GGA, Alexandria via LeMat-Bulk).

abc: 3.6358 3.6358 27.2921
angles: 90.00 90.00 120.00
Sites, in units of the cell vectors:
1 La 0.0000 0.0000 0.0000
2 La 0.0000 0.0000 0.3362
3 La 0.6667 0.3333 0.6703
4 Sm 0.0000 0.0000 0.5573
5 Sm 0.0000 0.0000 0.7840
6 Sm 0.6667 0.3333 0.2284
7 Sm 0.6667 0.3333 0.4515
8 Dy 0.6667 0.3333 0.1057
9 Dy 0.6667 0.3333 0.8872

magnetic moment	0.000	μB/f.u.
E_form	72	meV/atom
volume	312.4	Å³ per cell
total DFT energy (no corrections)	-42.21	eV for the cell shown
calculated density	7.1	g/cm³
distance to the lowest polymorph of the same formula	0.0502	eV per atom
DOS(E_F)	15.21	states/eV/cell